Record 1
# CaHgO

A geometry-optimized CaHgO structure (PBE, Alexandria).

The electronic total energy is -3.9514 eV per atom. The calculation puts the energy above the most stable polymorph in this dataset at 0.00 kcal/mol of atoms. The value obtained for the formation energy from raw total energies is -1.531 eV/atom.

The space group is Immm (No. 71) and the conventional cell measures 4.007, 5.217 and 13.033 Å, with angles of 90.00, 90.00 and 90.00 degrees. Symmetry generates all atoms from Ca at (0.000, 0.000, 0.212), Hg at (0.000, 0.248, 0.500) and O at (0.000, 0.500, 0.218).

Record 2
# CaHgO2

A geometry-optimized CaHgO2 structure (PBE, Alexandria).

The electronic total energy is -3.7530 eV per atom. The value obtained for the formation energy from raw total energies is -0.698 eV/atom.

The space group is R-3m (No. 166, hexagonal axes) and the conventional cell measures 3.6685, 3.6685 and 19.2937 Å, with angles of 90.00, 90.00 and 120.00 degrees. Symmetry generates all atoms from Ca at (0.0000, 0.0000, 0.0000), Hg at (0.0000, 0.0000, 0.5000) and O at (0.0000, 0.0000, 0.1085).

Record 3
# CaHg2O

A geometry-optimized CaHg2O structure (PBE, Alexandria).

The electronic total energy is -2.1834 eV per atom. The calculation puts the energy above the most stable polymorph in this dataset at 12.84 kcal/mol of atoms. The value obtained for the formation energy from raw total energies is -0.293 eV/atom.

The space group is Fm-3m (No. 225) and the conventional cell measures 6.994, 6.994 and 6.994 Å, with angles of 90.00, 90.00 and 90.00 degrees. Symmetry generates all atoms from Ca at (0.000, 0.000, 0.000), Hg at (0.250, 0.250, 0.250) and O at (0.000, 0.000, 0.500).

Record 4
# Ca5HgO6

A geometry-optimized Ca5HgO6 structure (PBE, Alexandria).

The electronic total energy is -5.8514 eV per atom. The value obtained for the formation energy from raw total energies is -2.513 eV/atom.

The space group is C2/m (No. 12) and the conventional cell measures 5.953, 10.289 and 5.946 Å, with angles of 90.00, 109.64 and 90.00 degrees. Symmetry generates all atoms from Ca at (0.000, 0.000, 0.000), Ca at (0.000, 0.167, 0.500), Ca at (0.000, 0.336, 0.000), Hg at (0.000, 0.500, 0.500), O at (0.240, 0.000, 0.759) and O at (0.242, 0.173, 0.244).

Record 5
# CaHgO2

A geometry-optimized CaHgO2 structure (PBE, Alexandria).

The electronic total energy is -4.5784 eV per atom. The value obtained for the formation energy from raw total energies is -1.523 eV/atom.

The space group is Pmn2_1 (No. 31) and the conventional cell measures 3.765, 7.322 and 5.292 Å, with angles of 90.00, 90.00 and 90.00 degrees. Symmetry generates all atoms from Ca at (0.000, 0.135, 0.000), Hg at (0.000, 0.639, 0.017), O at (0.000, 0.378, 0.264) and O at (0.000, 0.893, 0.267).

Record 6
# CaHgO3

A geometry-optimized CaHgO3 structure (PBE, Alexandria).

The electronic total energy is -3.7838 eV per atom. The value obtained for the formation energy from raw total energies is -0.348 eV/atom.

The space group is Pm-3m (No. 221) and the conventional cell measures 4.308, 4.308 and 4.308 Å, with angles of 90.00, 90.00 and 90.00 degrees. Symmetry generates all atoms from Ca at (0.000, 0.000, 0.000), Hg at (0.500, 0.500, 0.500) and O at (0.000, 0.000, 0.500).

Record 7
# CaHgO2

A geometry-optimized CaHgO2 structure (PBE, Alexandria).

The electronic total energy is -4.7985 eV per atom. The value obtained for the formation energy from raw total energies is -1.744 eV/atom.

The space group is R-3m (No. 166, hexagonal axes) and the conventional cell measures 3.6410, 3.6410 and 18.8850 Å, with angles of 90.00, 90.00 and 120.00 degrees. Symmetry generates all atoms from Ca at (0.0000, 0.0000, 0.0000), Hg at (0.0000, 0.0000, 0.5000) and O at (0.0000, 0.0000, 0.3939).

Record 8
# Ca2HgO2

A geometry-optimized Ca2HgO2 structure (PBE, Alexandria).

The electronic total energy is -4.8741 eV per atom. The calculation puts the energy above the most stable polymorph in this dataset at 0.00 kcal/mol of atoms. The value obtained for the formation energy from raw total energies is -2.030 eV/atom.

The space group is I4/mmm (No. 139) and the conventional cell measures 4.421, 4.421 and 12.165 Å, with angles of 90.00, 90.00 and 90.00 degrees. Symmetry generates all atoms from Ca at (0.000, 0.000, 0.204), Hg at (0.000, 0.000, 0.500) and O at (0.000, 0.500, 0.250).